1.
# PmP4N7

A relaxed PmP4N7 crystal (PBE, the Alexandria database).

The space group is Pmn2_1 (No. 31) and the conventional cell measures 11.0669, 5.6657 and 4.7062 Å, with angles of 90.00, 90.00 and 90.00 degrees. The distinct sites, in fractional coordinates, are Pm at (0.0000, 0.1574, 0.0000), P at (0.1268, 0.6886, 0.4112), P at (0.2314, 0.2225, 0.4060), N at (0.0000, 0.8124, 0.3001), N at (0.1200, 0.4027, 0.3259), N at (0.1386, 0.7413, 0.7482) and N at (0.2505, 0.2126, 0.7496).

For the raw formation energy, the calculation gives -0.354 eV per atom. The calculation puts the calculated volume at 12.30 A^3/atom. The calculation puts the calculated total energy at -177.84 eV/cell. The calculation puts the mass density at 4.1 g/cm³. The density of states at the Fermi level is 0.2787 states/eV/atom.


2.
# BaSr2Sn2

A relaxed BaSr2Sn2 crystal (PBE, the Alexandria database).

The space group is I4/mmm (No. 139) and the conventional cell measures 6.1097, 6.1097 and 11.8486 Å, with angles of 90.00, 90.00 and 90.00 degrees. The distinct sites, in fractional coordinates, are Ba at (0.0000, 0.0000, 0.0000), Sr at (0.0000, 0.0000, 0.3393) and Sn at (0.0000, 0.5000, 0.2500).

The value obtained for the formation energy is -1.4 eV/f.u. The calculation puts the calculated volume at 44.23 A^3/atom. The value obtained for the energy relative to the lowest polymorph listed for this composition is 252 meV per atom. The calculation puts the calculated total energy at -29.44 eV/cell. The calculation puts the mass density at 4.1 g/cm³. The density of states at the Fermi level is 0.6130 states/eV/atom.


3.
# CoRuSe

A relaxed CoRuSe crystal (PBE, the Alexandria database).

The space group is F-43m (No. 216) and the conventional cell measures 5.5889, 5.5889 and 5.5889 Å, with angles of 90.00, 90.00 and 90.00 degrees. The distinct sites, in fractional coordinates, are Co at (0.0000, 0.0000, 0.0000), Ru at (0.0000, 0.0000, 0.5000) and Se at (0.2500, 0.2500, 0.7500).

For the raw formation energy, the calculation gives 0.168 eV per atom. The calculation puts the calculated volume at 14.55 A^3/atom. The value obtained for the energy relative to the lowest polymorph listed for this composition is 0 meV per atom. The calculation puts the calculated total energy at -77.45 eV/cell. The calculation puts the mass density at 9.1 g/cm³. The density of states at the Fermi level is 0.4722 states/eV/atom.


4.
# NaGa9Rh2

A relaxed NaGa9Rh2 crystal (PBE, the Alexandria database).

The space group is I4_1/amd (No. 141, origin choice 2) and the conventional cell measures 11.1357, 11.1357 and 6.7342 Å, with angles of 90.00, 90.00 and 90.00 degrees. The distinct sites, in fractional coordinates, are Na at (0.0000, 0.2500, 0.3750), Ga at (0.0000, 0.2500, 0.8750), Ga at (0.1203, 0.0581, 0.6737) and Rh at (0.0000, 0.0000, 0.0000).

The value obtained for the formation energy is -3.2 eV/f.u. The calculation puts the calculated volume at 17.40 A^3/atom. The value obtained for the energy relative to the lowest polymorph listed for this composition is 63 meV per atom. The calculation puts the calculated total energy at -186.02 eV/cell. The calculation puts the mass density at 6.8 g/cm³. The density of states at the Fermi level is 0.3954 states/eV/atom.


5.
# Cs2PO

A relaxed Cs2PO crystal (PBE, the Alexandria database).

The space group is I-42d (No. 122) and the conventional cell measures 12.4525, 12.4525 and 3.8318 Å, with angles of 90.00, 90.00 and 90.00 degrees. The distinct sites, in fractional coordinates, are Cs at (0.0350, 0.7500, 0.1250), P at (0.0000, 0.0000, 0.5000) and O at (0.0000, 0.0000, 0.0000).

For the raw formation energy, the calculation gives -0.542 eV per atom. The calculation puts the calculated volume at 37.14 A^3/atom. The calculation puts the calculated total energy at -56.97 eV/cell. The calculation puts the mass density at 3.5 g/cm³. The density of states at the Fermi level is 0.6100 states/eV/atom.


6.
# BaTaTlNi2

A relaxed BaTaTlNi2 crystal (PBE, the Alexandria database).

The space group is P4/mmm (No. 123) and the conventional cell measures 4.8293, 4.8293 and 5.5208 Å, with angles of 90.00, 90.00 and 90.00 degrees. The distinct sites, in fractional coordinates, are Ba at (0.0000, 0.0000, 0.0000), Ta at (0.0000, 0.0000, 0.5000), Tl at (0.5000, 0.5000, 0.5000) and Ni at (0.0000, 0.5000, 0.0000).

The value obtained for the formation energy is 10.5 eV/f.u. The calculation puts the calculated volume at 25.75 A^3/atom. The calculation puts the calculated total energy at -17.19 eV/cell. The calculation puts the mass density at 8.3 g/cm³. The density of states at the Fermi level is 1.4146 states/eV/atom.


7.
# LaScZn

A relaxed LaScZn crystal (PBE, the Alexandria database).

The space group is Pm (No. 6) and the conventional cell measures 5.9820, 4.9462 and 6.1113 Å, with angles of 90.00, 119.15 and 90.00 degrees. The distinct sites, in fractional coordinates, are La at (0.0000, 0.0000, 0.0000), La at (0.3786, 0.0000, 0.6158), Sc at (0.4071, 0.5000, 0.0821), Sc at (0.7419, 0.0000, 0.3587), Zn at (0.7882, 0.5000, 0.6217) and Zn at (0.9711, 0.5000, 0.2906).

The value obtained for the formation energy is 0.0 eV/f.u. The calculation puts the calculated volume at 26.32 A^3/atom. The value obtained for the energy relative to the lowest polymorph listed for this composition is 195 meV per atom. The calculation puts the calculated total energy at -25.12 eV/cell. The calculation puts the mass density at 5.2 g/cm³. The density of states at the Fermi level is 1.0962 states/eV/atom.


8.
# ErTm2Bi

A relaxed ErTm2Bi crystal (PBE, the Alexandria database).

The space group is Cmcm (No. 63) and the conventional cell measures 4.6145, 22.2993 and 4.5630 Å, with angles of 90.00, 90.00 and 90.00 degrees. The distinct sites, in fractional coordinates, are Er at (0.0000, 0.1903, 0.2500), Tm at (0.0000, 0.0595, 0.7500), Tm at (0.0000, 0.4411, 0.7500) and Bi at (0.0000, 0.3314, 0.2500).

The value obtained for the formation energy is -1.6 eV/f.u. The calculation puts the calculated volume at 29.35 A^3/atom. The value obtained for the energy relative to the lowest polymorph listed for this composition is 0 meV per atom. The calculation puts the calculated total energy at -75.83 eV/cell. The calculation puts the mass density at 10.1 g/cm³. The density of states at the Fermi level is 1.1750 states/eV/atom.


9.
# Pm2Sm6Tm3

A relaxed Pm2Sm6Tm3 crystal (PBE, the Alexandria database).

The space group is R-3m (No. 166, hexagonal axes) and the conventional cell measures 4.5946, 4.5946 and 62.5614 Å, with angles of 90.00, 90.00 and 120.00 degrees. The distinct sites, in fractional coordinates, are Pm at (0.0000, 0.0000, 0.0494), Sm at (0.0000, 0.0000, 0.1384), Sm at (0.0000, 0.0000, 0.3166), Sm at (0.0000, 0.0000, 0.4145), Tm at (0.0000, 0.0000, 0.2231) and Tm at (0.0000, 0.0000, 0.5000).

The value obtained for the formation energy is 7.8 eV/f.u. The calculation puts the calculated volume at 34.66 A^3/atom. The value obtained for the energy relative to the lowest polymorph listed for this composition is 418 meV per atom. The calculation puts the calculated total energy at -130.42 eV/cell. The calculation puts the mass density at 7.4 g/cm³. The density of states at the Fermi level is 1.8898 states/eV/atom.


10.
# RbInAuCl6

A relaxed RbInAuCl6 crystal (PBE, the Alexandria database).

The space group is P1 (No. 1) and the conventional cell measures 6.6703, 6.6755 and 7.2803 Å, with angles of 93.25, 93.37 and 113.23 degrees. The distinct sites, in fractional coordinates, are Rb at (0.0000, 0.0000, 0.0000), In at (0.6534, 0.3460, 0.4996), Au at (0.3054, 0.6943, 0.4998), Cl at (0.3458, 0.0429, 0.6682), Cl at (0.3491, 0.4095, 0.2955), Cl at (0.5909, 0.6502, 0.7040), Cl at (0.6281, 0.0648, 0.2583), Cl at (0.9356, 0.3703, 0.7403) and Cl at (0.9563, 0.6541, 0.3312).

For the raw formation energy, the calculation gives -0.994 eV per atom. The calculation puts the calculated volume at 32.92 A^3/atom. The calculation puts the calculated total energy at -27.01 eV/cell. The calculation puts the mass density at 3.4 g/cm³. The density of states at the Fermi level is 0.0444 states/eV/atom.


11.
# La2ScIr

A relaxed La2ScIr crystal (PBE, the Alexandria database).

The space group is I-4m2 (No. 119) and the conventional cell measures 4.3053, 4.3053 and 10.7959 Å, with angles of 90.00, 90.00 and 90.00 degrees. The distinct sites, in fractional coordinates, are La at (0.0000, 0.0000, 0.0000), La at (0.0000, 0.5000, 0.2500), Sc at (0.0000, 0.5000, 0.7500) and Ir at (0.0000, 0.0000, 0.5000).

The value obtained for the formation energy is -0.5 eV/f.u. The calculation puts the calculated volume at 25.01 A^3/atom. The value obtained for the energy relative to the lowest polymorph listed for this composition is 257 meV per atom. The calculation puts the calculated total energy at -51.13 eV/cell. The calculation puts the mass density at 8.5 g/cm³. The density of states at the Fermi level is 0.9791 states/eV/atom.


12.
# MgNb2Cl

A relaxed MgNb2Cl crystal (PBE, the Alexandria database).

The space group is I-42d (No. 122) and the conventional cell measures 3.8067, 3.8067 and 22.3702 Å, with angles of 90.00, 90.00 and 90.00 degrees. The distinct sites, in fractional coordinates, are Mg at (0.0000, 0.0000, 0.0000), Nb at (0.2416, 0.2500, 0.1250) and Cl at (0.0000, 0.0000, 0.5000).

For the raw formation energy, the calculation gives 0.345 eV per atom. The calculation puts the calculated volume at 20.26 A^3/atom. The value obtained for the energy relative to the lowest polymorph listed for this composition is 0 meV per atom. The calculation puts the calculated total energy at -88.80 eV/cell. The calculation puts the mass density at 5.0 g/cm³. The density of states at the Fermi level is 0.8133 states/eV/atom.


13.
# Nd6Os2PtI3

A relaxed Nd6Os2PtI3 crystal (PBE, the Alexandria database).

The space group is C2/m (No. 12) and the conventional cell measures 7.3114, 12.6641 and 8.4828 Å, with angles of 90.00, 106.68 and 90.00 degrees. The distinct sites, in fractional coordinates, are Nd at (0.2156, 0.0000, 0.1850), Nd at (0.2350, 0.3271, 0.1859), Os at (0.0000, 0.1668, 0.0000), Pt at (0.0000, 0.5000, 0.0000), I at (0.0000, 0.0000, 0.5000) and I at (0.0000, 0.3330, 0.5000).

For the raw formation energy, the calculation gives -0.752 eV per atom. The calculation puts the calculated volume at 31.35 A^3/atom. The calculation puts the calculated total energy at -141.57 eV/cell. The calculation puts the mass density at 8.0 g/cm³. The density of states at the Fermi level is 0.4517 states/eV/atom.


14.
# CePa5Sb6

A relaxed CePa5Sb6 crystal (PBE, the Alexandria database).

The space group is C2/m (No. 12) and the conventional cell measures 7.5834, 13.1381 and 7.5852 Å, with angles of 90.00, 109.47 and 90.00 degrees. The distinct sites, in fractional coordinates, are Ce at (0.0000, 0.0000, 0.0000), Pa at (0.0000, 0.1638, 0.5000), Pa at (0.0000, 0.3325, 0.0000), Pa at (0.0000, 0.5000, 0.5000), Sb at (0.2458, 0.5000, 0.2493) and Sb at (0.2470, 0.3317, 0.7471).

For the raw formation energy, the calculation gives -0.536 eV per atom. The calculation puts the calculated volume at 29.69 A^3/atom. The calculation puts the calculated total energy at -169.15 eV/cell. The calculation puts the mass density at 9.4 g/cm³. The density of states at the Fermi level is 1.9645 states/eV/atom.


15.
# LaNdRuBr

A relaxed LaNdRuBr crystal (PBE, the Alexandria database).

The space group is R3m (No. 160, hexagonal axes) and the conventional cell measures 4.1013, 4.1013 and 23.9872 Å, with angles of 90.00, 90.00 and 120.00 degrees. The distinct sites, in fractional coordinates, are La at (0.0000, 0.0000, 0.0000), Nd at (0.0000, 0.0000, 0.2036), Ru at (0.0000, 0.0000, 0.6043) and Br at (0.0000, 0.0000, 0.7730).

For the raw formation energy, the calculation gives -0.815 eV per atom. The calculation puts the calculated volume at 29.11 A^3/atom. The calculation puts the calculated total energy at -71.72 eV/cell. The calculation puts the mass density at 6.6 g/cm³. The density of states at the Fermi level is 0.6800 states/eV/atom.


16.
# Pm2ZnIn3

A relaxed Pm2ZnIn3 crystal (PBE, the Alexandria database).

The space group is Pmm2 (No. 25) and the conventional cell measures 3.7671, 4.8249 and 8.4232 Å, with angles of 90.00, 90.00 and 90.00 degrees. The distinct sites, in fractional coordinates, are Pm at (0.0000, 0.0000, 0.0000), Pm at (0.0000, 0.5000, 0.4895), Zn at (0.5000, 0.0000, 0.3238), In at (0.5000, 0.0000, 0.6457), In at (0.5000, 0.5000, 0.1729) and In at (0.5000, 0.5000, 0.8298).

The value obtained for the formation energy is -2.7 eV/f.u. The calculation puts the calculated volume at 25.52 A^3/atom. The value obtained for the energy relative to the lowest polymorph listed for this composition is 3 meV per atom. The calculation puts the calculated total energy at -21.71 eV/cell. The calculation puts the mass density at 7.6 g/cm³. The density of states at the Fermi level is 0.5780 states/eV/atom.